# 1
First-principles (GGA-PBE) data for a relaxed structure of CuNi4H2, as listed in Alexandria.

```
CuNi4H2
1.0
4.3885 0.8899 -2.1142
-1.5488 3.8135 -1.6572
-0.4678 0.0658 6.7710
H Ni Cu
4 8 2
Cartesian
2.0693 1.4699 2.6386
1.2682 4.2373 -1.1735
1.6587 1.7401 -0.2020
-0.1724 1.3288 4.8774
2.6025 3.7461 -2.1002
2.6278 3.0473 2.2944
2.1206 4.5181 0.2937
1.1983 0.4167 5.6013
3.1868 2.2795 -0.0647
1.1384 1.1460 1.2645
0.5669 2.7128 -0.8281
0.6934 1.9960 3.5822
0.1508 3.4385 1.5916
3.1326 1.4990 4.3791
```

V = 120.3 Å³ per cell
spin magnetization = 0.3 μB per formula unit
N(E_F) = 8.334 states/eV/f.u.
E = -4.823 eV per atom

# 2
First-principles (GGA-PBE) data for a relaxed structure of Cu2Ni5H2, as listed in Alexandria.

```
Cu2Ni5H2
1.0
-3.1199 1.5514 0.9201
-0.4082 -4.2591 -1.2606
1.0723 -1.0640 5.4301
Cu H Ni
2 2 5
Cartesian
-1.0648 -0.4509 4.2072
-1.3910 -3.3208 0.8823
-0.6381 -1.5351 0.4248
-1.8178 -2.2366 4.6648
-0.1016 -1.4560 2.1106
-0.2124 -2.9003 4.1700
0.0000 0.0000 0.0000
-2.3543 -2.3157 2.9789
-2.2435 -0.8714 0.9195
```

V = 82.3 Å³ per cell
spin magnetization = 0.9 μB per formula unit
N(E_F) = 12.150 states/eV/f.u.
E = -4.862 eV per atom

# 3
First-principles (GGA-PBE) data for a relaxed structure of Cu3NiH, as listed in Alexandria.

```
Cu3NiH
1.0
4.4027 0.0000 0.0000
0.0000 4.4027 0.0000
0.0000 0.0000 4.4027
Cu H Ni
3 1 1
Cartesian
2.2013 0.0000 0.0000
0.0000 0.0000 2.2013
0.0000 2.2013 0.0000
2.2013 2.2013 2.2013
0.0000 0.0000 0.0000
```

V = 85.3 Å³ per cell
spin magnetization = 0.2 μB per formula unit
N(E_F) = 3.735 states/eV/f.u.
E = -2.913 eV per atom

# 4
First-principles (GGA-PBE) data for a relaxed structure of Cu2Ni3H, as listed in Alexandria.

```
Cu2Ni3H
1.0
3.4292 0.0000 -1.1269
-0.0132 5.0867 -0.0401
0.2643 1.3309 6.5854
Cu H Ni
4 2 6
Cartesian
2.4961 3.8395 1.8149
2.5027 1.2961 1.8350
1.1776 5.1214 3.5835
1.1842 2.5781 3.6035
3.4257 1.2717 -1.1368
-0.0096 3.8150 -0.0301
1.7113 1.2717 -0.5734
0.3876 5.0979 1.1795
1.7048 3.8150 -0.5935
3.2927 1.3196 4.2389
0.3942 2.5546 1.1995
3.2861 3.8630 4.2189
```

V = 116.6 Å³ per cell
spin magnetization = 0.5 μB per formula unit
N(E_F) = 7.568 states/eV/f.u.
E = -4.823 eV per atom

# 5
First-principles (GGA-PBE) data for a relaxed structure of CuNi8H5, as listed in Alexandria.

```
CuNi8H5
1.0
-2.4463 -0.5700 -0.5598
0.6811 -5.7752 2.9047
-0.8363 4.2499 5.2421
Ni H Cu
8 5 1
Cartesian
-0.8807 0.9352 2.8960
-1.7209 -3.0305 4.6908
-1.4083 -0.6884 0.9400
-2.7885 1.9511 4.2834
-0.3341 -1.5912 3.0802
-2.2675 -0.5040 4.5067
-1.1933 -1.4067 6.6469
0.1869 -4.0464 3.3036
-1.2244 -4.6573 4.1780
-3.2824 3.6795 4.6819
-1.8229 -0.6626 2.7257
-0.7786 -1.4327 4.8613
-1.3772 2.5620 3.4093
-0.8827 -3.1726 1.1726
```

V = 108.8 Å³ per cell
spin magnetization = 0.0 μB per formula unit
N(E_F) = 15.616 states/eV/f.u.
E = -4.820 eV per atom

# 6
First-principles (GGA-PBE) data for a relaxed structure of CuNi2H, as listed in Alexandria.

```
CuNi2H
1.0
-0.9473 1.5708 1.7144
-1.1316 -0.2596 -2.2262
-3.7009 -4.9098 2.4538
Ni Cu H
2 1 1
Cartesian
-3.5794 -2.7666 1.2935
-2.2126 -0.9533 0.3873
-0.9841 1.2048 0.9265
-2.9577 -2.4724 -0.4781
```

V = 36.1 Å³ per cell
spin magnetization = 0.5 μB per formula unit
N(E_F) = 3.122 states/eV/f.u.
E = -4.695 eV per atom